[1]
Here is K2LiAcF8 after structural relaxation from the Alexandria database. Energies are from PBE.

abc: 4.340 6.201 7.333
angles: 83.64 85.82 88.39
Site moments in Bohr magnetons follow the coordinates.
Fractional coordinates of all 12 atoms:
K 0.528 0.550 0.227  0.00
F 0.397 0.091 0.060  0.00
F 0.993 0.205 0.767  0.06
F 0.007 0.795 0.233  0.06
F 0.506 0.222 0.483  0.01
F 0.953 0.738 0.805  0.01
Li 0.000 0.000 0.000  0.00
F 0.603 0.909 0.940  0.00
F 0.494 0.778 0.517  0.01
F 0.047 0.262 0.195  0.01
K 0.472 0.450 0.773  0.00
Ac 0.000 0.000 0.500  0.01

## Properties
- SG = P-1, No. 2

=====

[2]
Here is Be3CoSi after structural relaxation from the Alexandria database. Energies are from PBE.

abc: 4.058 4.058 4.058
angles: 90.00 90.00 90.00
Site moments in Bohr magnetons follow the coordinates.
Fractional coordinates of all 5 atoms:
Be 0.000 0.000 0.500  -0.04
Be 0.000 0.500 0.000  -0.03
Co 0.500 0.500 0.500  1.31
Be 0.500 0.000 0.000  -0.03
Si 0.000 0.000 0.000  0.02

## Properties
- polymorph energy (0 for the lowest one) (meV per atom) = 955
- SG = Pm-3m, No. 221

=====

[3]
Here is PmZr2In after structural relaxation from the Alexandria database. Energies are from PBE.

abc: 4.577 4.639 4.639
angles: 90.00 90.00 90.00
Fractional coordinates of all 4 atoms:
Zr 0.000 0.500 0.000
In 0.500 0.000 0.000
Zr 0.000 0.000 0.500
Pm 0.500 0.500 0.500

## Properties
- polymorph energy (0 for the lowest one) (meV per atom) = 0
- SG = P4/mmm, No. 123
- formation energy (meV/atom) = -147

=====

[4]
Here is Zr5Au2N2 after structural relaxation from the Alexandria database. Energies are from PBE.

abc: 4.742 6.295 6.138
angles: 99.28 90.00 112.13
Fractional coordinates of all 9 atoms:
Zr 0.847 0.695 0.453
Zr 0.000 0.000 0.000
Zr 0.337 0.675 0.077
N 0.167 0.333 0.888
Zr 0.663 0.325 0.923
Zr 0.153 0.305 0.547
N 0.833 0.667 0.112
Au 0.579 0.157 0.337
Au 0.421 0.843 0.663

## Properties
- SG = C2/m, No. 12

=====

[5]
Here is Ce2SnP3 after structural relaxation from the Alexandria database. Energies are from PBE.

abc: 4.113 5.776 7.203
angles: 113.64 106.59 90.00
Site moments in Bohr magnetons follow the coordinates.
Fractional coordinates of all 6 atoms:
P 0.321 0.321 0.642  -0.02
Ce 0.337 0.837 0.673  0.52
P 0.679 0.679 0.358  -0.02
Ce 0.663 0.163 0.327  0.52
P 0.000 0.000 0.000  -0.03
Sn 0.000 0.500 0.000  -0.01

## Properties
- SG = Immm, No. 71
- formation energy (meV/atom) = -912

=====

[6]
Here is LiAc2NdS4 after structural relaxation from the Alexandria database. Energies are from PBE.

abc: 4.195 7.084 7.296
angles: 70.11 90.00 90.00
Fractional coordinates of all 8 atoms:
Nd 0.000 0.500 0.500
Ac 0.000 0.000 0.000
S 0.500 0.731 0.250
Li 0.500 0.500 0.000
S 0.000 0.269 0.240
S 0.000 0.731 0.760
S 0.500 0.269 0.750
Ac 0.500 0.000 0.500

## Properties
- SG = P2/m, No. 10

=====

[7]
Here is KCd3Pb after structural relaxation from the Alexandria database. Energies are from PBE.

abc: 5.958 5.958 5.958
angles: 90.00 90.00 90.00
Fractional coordinates of all 5 atoms:
Cd 0.000 0.500 0.000
Pb 0.000 0.000 0.000
K 0.500 0.500 0.500
Cd 0.000 0.000 0.500
Cd 0.500 0.000 0.000

## Properties
- polymorph energy (0 for the lowest one) (meV per atom) = 226
- SG = Pm-3m, No. 221
- formation energy (meV/atom) = 162

=====

[8]
Here is MnCuP after structural relaxation from the Alexandria database. Energies are from PBE.

abc: 3.833 3.833 3.126
angles: 90.00 90.00 120.00
Site moments in Bohr magnetons follow the coordinates.
Fractional coordinates of all 3 atoms:
P 0.333 0.667 0.758  -0.04
Mn 0.667 0.333 0.356  3.25
Cu 0.000 0.000 0.886  0.01

## Properties
- polymorph energy (0 for the lowest one) (meV per atom) = 307
- SG = P3m1, No. 156
- formation energy (meV/atom) = 15

=====

[9]
Here is Pm2SmEr3 after structural relaxation from the Alexandria database. Energies are from PBE.

abc: 6.829 7.786 7.786
angles: 74.78 90.00 90.00
Fractional coordinates of all 12 atoms:
Pm 0.577 0.784 0.450
Pm 0.577 0.450 0.784
Sm 0.825 0.856 0.856
Sm 0.325 0.144 0.144
Pm 0.077 0.216 0.550
Er 0.828 0.149 0.149
Er 0.576 0.521 0.178
Er 0.328 0.851 0.851
Pm 0.077 0.550 0.216
Er 0.576 0.178 0.521
Er 0.076 0.822 0.479
Er 0.076 0.479 0.822

## Properties
- polymorph energy (0 for the lowest one) (meV per atom) = 71
- SG = Cmc2_1, No. 36
- formation energy (meV/atom) = 218

=====

[10]
Here is YTm2Mg4 after structural relaxation from the Alexandria database. Energies are from PBE.

abc: 5.429 5.934 7.083
angles: 114.77 90.00 90.00
Fractional coordinates of all 7 atoms:
Tm 0.500 0.130 0.261
Mg 0.000 0.253 0.506
Tm 0.500 0.870 0.739
Mg 0.000 0.747 0.494
Mg 0.500 0.621 0.241
Mg 0.500 0.379 0.759
Y 0.000 0.500 0.000

## Properties
- polymorph energy (0 for the lowest one) (meV per atom) = 243
- SG = Cmmm, No. 65
- formation energy (meV/atom) = 394

=====

[11]
Here is Y3PuSb4 after structural relaxation from the Alexandria database. Energies are from PBE.

abc: 7.624 7.614 8.808
angles: 90.00 90.00 109.51
Site moments in Bohr magnetons follow the coordinates.
Fractional coordinates of all 16 atoms:
Y 0.250 0.500 0.874  -0.01
Pu 0.750 0.000 0.874  5.19
Y 0.250 0.500 0.376  -0.02
Sb 0.000 0.250 0.125  -0.06
Y 0.750 0.500 0.624  -0.02
Pu 0.250 0.000 0.126  5.19
Y 0.250 0.000 0.624  0.00
Sb 0.500 0.251 0.375  -0.04
Sb 0.000 0.251 0.625  -0.04
Sb 0.500 0.749 0.625  -0.04
Sb 0.500 0.250 0.875  -0.06
Y 0.750 0.500 0.126  -0.01
Sb 0.000 0.749 0.375  -0.04
Sb 0.000 0.750 0.875  -0.06
Y 0.750 0.000 0.376  0.00
Sb 0.500 0.750 0.125  -0.06

## Properties
- polymorph energy (0 for the lowest one) (meV per atom) = 0
- SG = P2/c, No. 13

=====

[12]
Here is Ac2La5PrDy after structural relaxation from the Alexandria database. Energies are from PBE.

abc: 9.293 9.293 10.361
angles: 116.64 116.64 90.00
Fractional coordinates of all 18 atoms:
Pr 0.750 0.750 0.500
La 0.557 0.651 0.707
La 0.500 0.500 0.000
La 0.651 0.151 0.707
La 0.057 0.557 0.707
Ac 0.874 0.626 0.000
Dy 0.250 0.750 0.500
La 0.443 0.349 0.293
La 0.349 0.849 0.293
La 0.943 0.443 0.293
Ac 0.126 0.374 0.000
Pr 0.250 0.250 0.500
Ac 0.374 0.874 0.000
La 0.000 0.000 0.000
La 0.151 0.057 0.707
La 0.849 0.943 0.293
Ac 0.626 0.126 0.000
Dy 0.750 0.250 0.500

## Properties
- SG = I4/mcm, No. 140
- formation energy (meV/atom) = 302

=====

What did we get for theoretical density? Answer: 3.94; 2.83; 7.46; 8.72; 5.48; 5.97; 4.58; 6.24; 7.83; 4.20; 6.88; 6.97 Mg/m³, in the order shown.
What did we get for calculated total energy? Answer: -4.74; -3.63; -6.29; -8.18; -6.26; -5.81; -1.35; -6.21; -4.43; -2.72; -7.30; -4.39 eV/atom, in the order shown.